[1]
Entry from Alexandria via LeMat-Bulk: a relaxed structure of SrAl3Br12 (GGA-PBE).

Values from the calculation:
VASP energy in eV per cell: -104.02
Formation energy without anion corrections in meV per atom: -1189.0
Space group: R3c

```
data_SrAl3Br12
_cell_length_a 13.469
_cell_length_b 13.469
_cell_length_c 13.469
_cell_angle_alpha 52.03
_cell_angle_beta 52.03
_cell_angle_gamma 52.03
_symmetry_space_group_name_H-M 'P 1'
_symmetry_Int_Tables_number 1
_symmetry_space_group_name_Hall 'P 1'
loop_
_atom_site_label
_atom_site_type_symbol
_atom_site_fract_x
_atom_site_fract_y
_atom_site_fract_z
_atom_site_occupancy
Sr1 Sr 0.000 0.000 0.000 1
Sr2 Sr 0.500 0.500 0.500 1
Al1 Al 0.114 0.334 0.711 1
Al2 Al 0.211 0.834 0.614 1
Al3 Al 0.334 0.711 0.114 1
Al4 Al 0.614 0.211 0.834 1
Al5 Al 0.711 0.114 0.334 1
Al6 Al 0.834 0.614 0.211 1
Br1 Br 0.011 0.547 0.576 1
Br2 Br 0.047 0.511 0.076 1
Br3 Br 0.076 0.047 0.511 1
Br4 Br 0.161 0.161 0.670 1
Br5 Br 0.161 0.670 0.161 1
Br6 Br 0.170 0.661 0.661 1
Br7 Br 0.182 0.807 0.818 1
Br8 Br 0.289 0.941 0.969 1
Br9 Br 0.307 0.682 0.318 1
Br10 Br 0.318 0.307 0.682 1
Br11 Br 0.441 0.789 0.469 1
Br12 Br 0.469 0.441 0.789 1
Br13 Br 0.511 0.076 0.047 1
Br14 Br 0.547 0.576 0.011 1
Br15 Br 0.576 0.011 0.547 1
Br16 Br 0.661 0.170 0.661 1
Br17 Br 0.661 0.661 0.170 1
Br18 Br 0.670 0.161 0.161 1
Br19 Br 0.682 0.318 0.307 1
Br20 Br 0.789 0.469 0.441 1
Br21 Br 0.807 0.818 0.182 1
Br22 Br 0.818 0.182 0.807 1
Br23 Br 0.941 0.969 0.289 1
Br24 Br 0.969 0.289 0.941 1
```

***

[2]
Entry from Alexandria via LeMat-Bulk: a relaxed structure of Pm6HoTmSc2 (GGA-PBE).

Values from the calculation:
Formation energy in eV per atom: 0.125
VASP energy in eV per cell: -97.93
Space group: C2/c

```
data_Pm6HoTmSc2
_cell_length_a 8.756
_cell_length_b 8.756
_cell_length_c 9.501
_cell_angle_alpha 94.25
_cell_angle_beta 94.25
_cell_angle_gamma 117.84
_symmetry_space_group_name_H-M 'P 1'
_symmetry_Int_Tables_number 1
_symmetry_space_group_name_Hall 'P 1'
loop_
_atom_site_label
_atom_site_type_symbol
_atom_site_fract_x
_atom_site_fract_y
_atom_site_fract_z
_atom_site_occupancy
Pm1 Pm 0.013 0.561 0.184 1
Pm2 Pm 0.111 0.763 0.552 1
Pm3 Pm 0.237 0.889 0.948 1
Pm4 Pm 0.298 0.504 0.382 1
Pm5 Pm 0.439 0.987 0.316 1
Pm6 Pm 0.496 0.702 0.118 1
Pm7 Pm 0.504 0.298 0.882 1
Pm8 Pm 0.561 0.013 0.684 1
Pm9 Pm 0.702 0.496 0.618 1
Pm10 Pm 0.763 0.111 0.052 1
Pm11 Pm 0.889 0.237 0.448 1
Pm12 Pm 0.987 0.439 0.816 1
Ho1 Ho 0.408 0.592 0.750 1
Ho2 Ho 0.592 0.408 0.250 1
Tm1 Tm 0.028 0.972 0.250 1
Tm2 Tm 0.972 0.028 0.750 1
Sc1 Sc 0.197 0.295 0.048 1
Sc2 Sc 0.295 0.197 0.548 1
Sc3 Sc 0.705 0.803 0.452 1
Sc4 Sc 0.803 0.705 0.952 1
```

***

[3]
Entry from Alexandria via LeMat-Bulk: a relaxed structure of LiTc2Au (GGA-PBE).

Values from the calculation:
Formation energy in eV per atom: 0.130
VASP energy in eV per cell: -25.40
Relative energy among the computed polymorphs in eV per formula unit: 0.36
Space group: P4/mmm

```
data_LiTc2Au
_cell_length_a 3.605
_cell_length_b 3.605
_cell_length_c 4.507
_cell_angle_alpha 90.00
_cell_angle_beta 90.00
_cell_angle_gamma 90.00
_symmetry_space_group_name_H-M 'P 1'
_symmetry_Int_Tables_number 1
_symmetry_space_group_name_Hall 'P 1'
loop_
_atom_site_label
_atom_site_type_symbol
_atom_site_fract_x
_atom_site_fract_y
_atom_site_fract_z
_atom_site_occupancy
Li1 Li 0.000 0.000 0.000 1
Tc1 Tc 0.000 0.500 0.500 1
Tc2 Tc 0.500 0.000 0.500 1
Au1 Au 0.500 0.500 0.000 1
```

***

[4]
Entry from Alexandria via LeMat-Bulk: a relaxed structure of RbAg2AuI4 (GGA-PBE).

Values from the calculation:
VASP energy in eV per cell: -39.59
Formation energy without anion corrections in meV per atom: -455.8
Space group: I222

```
data_RbAg2AuI4
_cell_length_a 7.822
_cell_length_b 8.727
_cell_length_c 9.181
_cell_angle_alpha 90.00
_cell_angle_beta 90.00
_cell_angle_gamma 90.00
_symmetry_space_group_name_H-M 'P 1'
_symmetry_Int_Tables_number 1
_symmetry_space_group_name_Hall 'P 1'
loop_
_atom_site_label
_atom_site_type_symbol
_atom_site_fract_x
_atom_site_fract_y
_atom_site_fract_z
_atom_site_occupancy
Rb1 Rb 0.000 0.000 0.000 1
Rb2 Rb 0.500 0.500 0.500 1
Ag1 Ag 0.000 0.500 0.164 1
Ag2 Ag 0.000 0.500 0.836 1
Ag3 Ag 0.500 0.000 0.336 1
Ag4 Ag 0.500 0.000 0.664 1
Au1 Au 0.000 0.000 0.500 1
Au2 Au 0.500 0.500 0.000 1
I1 I 0.224 0.184 0.331 1
I2 I 0.224 0.816 0.669 1
I3 I 0.276 0.316 0.831 1
I4 I 0.276 0.684 0.169 1
I5 I 0.724 0.316 0.169 1
I6 I 0.724 0.684 0.831 1
I7 I 0.776 0.184 0.669 1
I8 I 0.776 0.816 0.331 1
```